No. 1
Here is La2Sn3Bi3 after structural relaxation from Alexandria. Energies are from PBE.

It has space group Pmmm (No. 47), with a = 4.857 Å, b = 4.890 Å, c = 10.012 Å, α = 90.00°, β = 90.00° and γ = 90.00°. The asymmetric unit holds La at (0.000, 0.000, 0.245), Sn at (0.000, 0.500, 0.000), Sn at (0.000, 0.500, 0.500), Sn at (0.500, 0.000, 0.000), Bi at (0.500, 0.000, 0.500) and Bi at (0.500, 0.500, 0.243).

The total DFT energy (no corrections) is -4.737 eV per atom. The calculation puts the energy of formation from the pure elements at -548 meV per atom.

***

No. 2
Here is Sr2BSbPt6 after structural relaxation from Alexandria. Energies are from PBE.

It has space group C2/m (No. 12), with a = 10.349 Å, b = 5.941 Å, c = 7.329 Å, α = 90.00°, β = 118.12° and γ = 90.00°. The asymmetric unit holds Sr at (0.220, 0.000, 0.159), B at (0.000, 0.000, 0.500), Sb at (0.000, 0.500, 0.000), Pt at (0.030, 0.263, 0.327) and Pt at (0.233, 0.000, 0.672).

The total DFT energy (no corrections) is -5.721 eV per atom. The energy relative to the elements, uncorrected is -0.68 eV/atom.

***

No. 3
Here is PmDy4Sc2 after structural relaxation from Alexandria. Energies are from PBE.

It has space group P2/m (No. 10), with a = 7.002 Å, b = 7.875 Å, c = 7.861 Å, α = 90.00°, β = 90.20° and γ = 90.00°. The asymmetric unit holds Pm at (0.000, 0.000, 0.000), Pm at (0.000, 0.500, 0.500), Dy at (0.256, 0.221, 0.721), Dy at (0.258, 0.221, 0.278), Sc at (0.000, 0.500, 0.000), Sc at (0.500, 0.000, 0.000), Sc at (0.500, 0.500, 0.000) and Sc at (0.500, 0.500, 0.500).

The calculation puts the offset from the most stable computed form at 0 meV/atom. The total DFT energy (no corrections) is -4.900 eV per atom. The calculation puts the energy of formation from the pure elements at 218 meV per atom.